The following is a GGA-PBE calculation of a geometry-optimized P structure, from Alexandria via LeMat-Bulk.

Output
SG: Pmna
Energy above the lowest structure with this stoichiometry in meV per atom: 41

Cell: 3.302 4.585 6.101 Å, 90.00 90.00 90.00°
Positions (direct):
P: 0.000 0.912 0.673
P: 0.000 0.088 0.327
P: 0.500 0.412 0.327
P: 0.500 0.588 0.673